(1)
A relaxed structure of Ca2PO5. Source: Alexandria via LeMat-Bulk, functional PBE.

CIF file:
```
data_Ca2PO5
_chemical_formula_sum 'Ca4 P2 O10'
_symmetry_space_group_name_H-M 'I 4 m m'
_symmetry_Int_Tables_number 107
_symmetry_space_group_name_Hall 'I 4 -2'
_cell_length_a 5.407
_cell_length_b 5.407
_cell_length_c 7.233
_cell_angle_alpha 90.00
_cell_angle_beta 90.00
_cell_angle_gamma 90.00
loop_
_atom_site_label
_atom_site_type_symbol
_atom_site_fract_x
_atom_site_fract_y
_atom_site_fract_z
Ca1 Ca 0.000 0.500 0.000
P1 P 0.000 0.000 0.263
O1 O 0.000 0.000 0.477
O2 O 0.210 0.210 0.205
```

- Raw formation energy: -2.36 eV/atom

(2)
A relaxed structure of Mn2NbP. Source: Alexandria via LeMat-Bulk, functional PBE.

CIF file:
```
data_Mn2NbP
_chemical_formula_sum 'Mn8 Nb4 P4'
_symmetry_space_group_name_H-M 'I -4 2 d'
_symmetry_Int_Tables_number 122
_symmetry_space_group_name_Hall 'I -4 2bw'
_cell_length_a 6.901
_cell_length_b 6.901
_cell_length_c 5.024
_cell_angle_alpha 90.00
_cell_angle_beta 90.00
_cell_angle_gamma 90.00
loop_
_atom_site_label
_atom_site_type_symbol
_atom_site_fract_x
_atom_site_fract_y
_atom_site_fract_z
Mn1 Mn 0.193 0.250 0.125
Nb1 Nb 0.000 0.000 0.500
P1 P 0.000 0.000 0.000
```

- ΔH_f (0 K): 6.2 kJ per mole of atoms

(3)
A relaxed structure of Mn2VGeH. Source: Alexandria via LeMat-Bulk, functional PBE.

CIF file:
```
data_Mn2VGeH
_chemical_formula_sum 'Mn2 V1 Ge1 H1'
_symmetry_space_group_name_H-M 'P 4/m m m'
_symmetry_Int_Tables_number 123
_symmetry_space_group_name_Hall '-P 4 2'
_cell_length_a 3.726
_cell_length_b 3.726
_cell_length_c 3.818
_cell_angle_alpha 90.00
_cell_angle_beta 90.00
_cell_angle_gamma 90.00
loop_
_atom_site_label
_atom_site_type_symbol
_atom_site_fract_x
_atom_site_fract_y
_atom_site_fract_z
Mn1 Mn 0.000 0.500 0.000
V1 V 0.000 0.000 0.500
Ge1 Ge 0.500 0.500 0.500
H1 H 0.000 0.000 0.000
```

- Calculated total energy: -7.253 eV/atom

(4)
A relaxed structure of TaAsCSe2. Source: Alexandria via LeMat-Bulk, functional PBE.

CIF file:
```
data_TaAsCSe2
_chemical_formula_sum 'Ta1 As1 C1 Se2'
_symmetry_space_group_name_H-M 'P 4/m m m'
_symmetry_Int_Tables_number 123
_symmetry_space_group_name_Hall '-P 4 2'
_cell_length_a 4.961
_cell_length_b 4.961
_cell_length_c 5.089
_cell_angle_alpha 90.00
_cell_angle_beta 90.00
_cell_angle_gamma 90.00
loop_
_atom_site_label
_atom_site_type_symbol
_atom_site_fract_x
_atom_site_fract_y
_atom_site_fract_z
Ta1 Ta 0.000 0.000 0.000
As1 As 0.000 0.000 0.500
C1 C 0.500 0.500 0.500
Se1 Se 0.000 0.500 0.000
```

- Raw formation energy: 1.40 eV/atom
- Energy above the lowest structure with this stoichiometry: 291.0 meV per atom

(5)
A relaxed structure of BaLi2GaSe4. Source: Alexandria via LeMat-Bulk, functional PBE.

CIF file:
```
data_BaLi2GaSe4
_chemical_formula_sum 'Ba2 Li4 Ga2 Se8'
_symmetry_space_group_name_H-M 'I 2 2 2'
_symmetry_Int_Tables_number 23
_cell_length_a 7.069
_cell_length_b 7.100
_cell_length_c 8.360
_cell_angle_alpha 90.00
_cell_angle_beta 90.00
_cell_angle_gamma 90.00
loop_
_symmetry_equiv_pos_as_xyz
'x,y,z'
'-x,-y,z'
'x,-y,-z'
'-x,y,-z'
'x+1/2,y+1/2,z+1/2'
'-x+1/2,-y+1/2,z+1/2'
'x+1/2,-y+1/2,-z+1/2'
'-x+1/2,y+1/2,-z+1/2'
loop_
_atom_site_label
_atom_site_type_symbol
_atom_site_fract_x
_atom_site_fract_y
_atom_site_fract_z
Ba1 Ba 0.000 0.000 0.000
Li1 Li 0.000 0.500 0.250
Ga1 Ga 0.000 0.000 0.500
Se1 Se 0.199 0.199 0.334
```

- Raw formation energy: -1.11 eV/atom

(6)
A relaxed structure of TaFe4Si2. Source: Alexandria via LeMat-Bulk, functional PBE.

CIF file:
```
data_TaFe4Si2
_chemical_formula_sum 'Ta2 Fe8 Si4'
_symmetry_space_group_name_H-M 'P 42/m n m'
_symmetry_Int_Tables_number 136
_symmetry_space_group_name_Hall '-P 4n 2n'
_cell_length_a 6.762
_cell_length_b 6.762
_cell_length_c 3.746
_cell_angle_alpha 90.00
_cell_angle_beta 90.00
_cell_angle_gamma 90.00
loop_
_atom_site_label
_atom_site_type_symbol
_atom_site_fract_x
_atom_site_fract_y
_atom_site_fract_z
Ta1 Ta 0.000 0.000 0.000
Fe1 Fe 0.094 0.351 0.500
Si1 Si 0.215 0.785 0.500
```

- Raw formation energy: -0.34 eV/atom

(7)
A relaxed structure of Zr4AlPd. Source: Alexandria via LeMat-Bulk, functional PBE.

CIF file:
```
data_Zr4AlPd
_chemical_formula_sum 'Zr8 Al2 Pd2'
_symmetry_space_group_name_H-M 'I 4 2 2'
_symmetry_Int_Tables_number 97
_symmetry_space_group_name_Hall 'I 4 2'
_cell_length_a 6.915
_cell_length_b 6.915
_cell_length_c 5.179
_cell_angle_alpha 90.00
_cell_angle_beta 90.00
_cell_angle_gamma 90.00
loop_
_atom_site_label
_atom_site_type_symbol
_atom_site_fract_x
_atom_site_fract_y
_atom_site_fract_z
Zr1 Zr 0.154 0.346 0.250
Al1 Al 0.000 0.000 0.500
Pd1 Pd 0.000 0.000 0.000
```

- Energy above the lowest structure with this stoichiometry: 0.0 meV per atom
- ΔH_f (0 K): -37.8 kJ per mole of atoms

(8)
A relaxed structure of MgTeCl2. Source: Alexandria via LeMat-Bulk, functional PBE.

CIF file:
```
data_MgTeCl2
_chemical_formula_sum 'Mg2 Te2 Cl4'
_symmetry_space_group_name_H-M 'C m m m'
_symmetry_Int_Tables_number 65
_symmetry_space_group_name_Hall '-C 2 2'
_cell_length_a 3.947
_cell_length_b 5.067
_cell_length_c 11.996
_cell_angle_alpha 90.00
_cell_angle_beta 90.00
_cell_angle_gamma 90.00
loop_
_atom_site_label
_atom_site_type_symbol
_atom_site_fract_x
_atom_site_fract_y
_atom_site_fract_z
Mg1 Mg 0.000 0.000 0.000
Te1 Te 0.000 0.000 0.500
Cl1 Cl 0.000 0.500 0.128
```

- Raw formation energy: -1.00 eV/atom
- Energy above the lowest structure with this stoichiometry: 187.9 meV per atom